Entry from the Alexandria database: a geometry-optimized KV3Cu structure (GGA-PBE).

a = 4.258 Å, b = 4.258 Å, c = 4.258 Å
α = 90.00°, β = 90.00°, γ = 90.00°
Space group Pm-3m (No. 221)
Symmetry-distinct sites (fractional):
K1 0.000 0.000 0.000
V1 0.000 0.000 0.500
Cu1 0.500 0.500 0.500

For the offset from the most stable computed form, the calculation gives 1085 meV per atom. The energy of formation comes out at 12.56 eV/f.u.